Density functional theory data (GGA-PBE) for a relaxed CaTm2AlAu4 crystal.

Geometry as POSCAR:
```
CaTm2AlAu4
1.0
2.4521 1.4157 8.1516
-2.4521 1.4157 8.1516
0.0000 -2.8315 8.1516
Ca Tm Al Au
1 2 1 4
Cartesian
0.0000 0.0000 0.0000
0.0000 0.0000 5.9988
0.0000 0.0000 18.4561
0.0000 0.0000 12.2275
0.0000 0.0000 3.0721
0.0000 0.0000 9.4313
0.0000 0.0000 15.0236
0.0000 0.0000 21.3828
```

Results
formation energy from the elements	-73	kJ/mol of atoms